(1)
The following is a meta-GGA SCAN calculation of K2CdHg2 at its PBEsol-relaxed geometry, from Alexandria via LeMat-Bulk.

**Space-group type**: P4/mbm, No. 127
**ΔH_f (0 K)**: -1.22 eV/f.u.
**Final energy**: -369.2 eV/cell
**Size of the total moment**: 0.000 μB per formula unit

```
K2CdHg2
1.0
7.754 0.000 0.000
0.000 7.754 0.000
0.000 0.000 5.289
K Cd Hg
4 2 4
Direct
0.175 0.325 0.000 K
0.325 0.825 0.000 K
0.675 0.175 0.000 K
0.825 0.675 0.000 K
0.000 0.000 0.500 Cd
0.500 0.500 0.500 Cd
0.135 0.635 0.500 Hg
0.365 0.135 0.500 Hg
0.635 0.865 0.500 Hg
0.865 0.365 0.500 Hg
```

(2)
The following is a meta-GGA SCAN calculation of KNd2Br5 at its PBEsol-relaxed geometry, from Alexandria via LeMat-Bulk.

**Space-group type**: P2_1/c, No. 14
**Formation energy from raw total energies**: -1862 meV/atom
**Final energy**: -830.8 eV/cell
**Size of the total moment**: 0.000 μB per formula unit

```
KNd2Br5
1.0
8.949 0.000 0.000
0.000 7.392 0.000
-0.017 0.000 13.777
K Nd Br
4 8 20
Direct
0.000 0.069 0.159 K
0.000 0.431 0.659 K
0.000 0.569 0.341 K
0.000 0.931 0.841 K
0.292 0.536 0.000 Nd
0.292 0.964 0.500 Nd
0.493 0.096 0.163 Nd
0.493 0.404 0.663 Nd
0.507 0.596 0.337 Nd
0.507 0.904 0.837 Nd
0.708 0.036 0.500 Nd
0.708 0.464 0.000 Nd
0.023 0.181 0.426 Br
0.023 0.319 0.926 Br
0.253 0.135 0.694 Br
0.253 0.365 0.194 Br
0.259 0.652 0.788 Br
0.259 0.848 0.288 Br
0.290 0.545 0.498 Br
0.290 0.955 0.998 Br
0.475 0.191 0.371 Br
0.475 0.309 0.871 Br
0.525 0.691 0.129 Br
0.525 0.809 0.629 Br
0.710 0.045 0.002 Br
0.710 0.455 0.502 Br
0.741 0.152 0.712 Br
0.741 0.348 0.212 Br
0.747 0.635 0.806 Br
0.747 0.865 0.306 Br
0.977 0.681 0.074 Br
0.977 0.819 0.574 Br
```

(3)
The following is a meta-GGA SCAN calculation of ZrRu2W at its PBEsol-relaxed geometry, from Alexandria via LeMat-Bulk.

**Space-group type**: F-43m, No. 216
**ΔH_f (0 K)**: 0.36 eV/f.u.
**Final energy**: -169.7 eV/cell
**Size of the total moment**: 1.836 μB per formula unit

```
ZrRu2W
1.0
0.000 3.148 3.148
3.148 0.000 3.148
3.148 3.148 0.000
Zr Ru W
1 2 1
Direct
0.000 0.000 0.000 Zr
0.500 0.500 0.500 Ru
0.750 0.750 0.750 Ru
0.250 0.250 0.250 W
```

(4)
The following is a meta-GGA SCAN calculation of BiTe3Pt at its PBEsol-relaxed geometry, from Alexandria via LeMat-Bulk.

**Space-group type**: Pm-3m, No. 221
**Formation energy from raw total energies**: 1434 meV/atom
**Final energy**: -253.4 eV/cell
**Size of the total moment**: 2.893 μB per formula unit

```
BiTe3Pt
1.0
5.709 0.000 0.000
0.000 5.709 0.000
0.000 0.000 5.709
Bi Te Pt
1 3 1
Direct
0.000 0.000 0.000 Bi
0.000 0.000 0.500 Te
0.000 0.500 0.000 Te
0.500 0.000 0.000 Te
0.500 0.500 0.500 Pt
```

(5)
The following is a meta-GGA SCAN calculation of Ta3NO at its PBEsol-relaxed geometry, from Alexandria via LeMat-Bulk.

**Space-group type**: Pm-3m, No. 221
**Formation energy from raw total energies**: 528 meV/atom
**Final energy**: -212.6 eV/cell
**Size of the total moment**: 0.000 μB per formula unit

```
Ta3NO
1.0
4.104 0.000 0.000
0.000 4.104 0.000
0.000 0.000 4.104
Ta N O
3 1 1
Direct
0.000 0.000 0.500 Ta
0.000 0.500 0.000 Ta
0.500 0.000 0.000 Ta
0.500 0.500 0.500 N
0.000 0.000 0.000 O
```

(6)
The following is a meta-GGA SCAN calculation of MgCd2 at its PBEsol-relaxed geometry, from Alexandria via LeMat-Bulk.

**Space-group type**: P-62m, No. 189
**ΔH_f (0 K)**: -0.10 eV/f.u.
**Final energy**: -197.7 eV/cell
**Size of the total moment**: 0.000 μB per formula unit

```
MgCd2
1.0
8.394 0.000 0.000
-4.197 7.270 0.000
0.000 0.000 3.120
Mg Cd
3 6
Direct
0.000 0.000 0.000 Mg
0.333 0.667 0.500 Mg
0.667 0.333 0.500 Mg
0.000 0.301 0.500 Cd
0.000 0.633 0.000 Cd
0.301 0.000 0.500 Cd
0.367 0.367 0.000 Cd
0.633 0.000 0.000 Cd
0.699 0.699 0.500 Cd
```